Density functional theory data (GGA-PBE) for an optimized crystal structure of CoBiI2N.

a b c (Å): 6.3084 6.3084 4.1956
angles (deg): 90.00 90.00 90.00
Fractional coordinates of all 5 atoms:
Co (0.0000, 0.0000, 0.0000)
Bi (0.5000, 0.5000, 0.5000)
I (0.0000, 0.5000, 0.5000)
I (0.5000, 0.0000, 0.5000)
N (0.5000, 0.5000, 0.0000)

calculated volume: 167.0 Å³/f.u.
calculated total energy: -3.173 eV per atom
energy relative to the elements, uncorrected: 1.309 eV per atom